No. 1
Below is a relaxed structure of Sr3CaPd, with properties calculated at the PBE level.

Cell: 6.0356 6.0356 6.0356 Å, 90.00 90.00 90.00°
Fractional coordinates of all 5 atoms:
1 Sr 0.0000 0.0000 0.5000
2 Sr 0.0000 0.5000 0.0000
3 Sr 0.5000 0.0000 0.0000
4 Ca 0.5000 0.5000 0.5000
5 Pd 0.0000 0.0000 0.0000

Computed properties:
ΔE to the lowest computed polymorph   0.190 eV per formula unit
Size of the total moment   0.00 μB per cell
Space group   Pm-3m, No. 221
Volume   219.9 Å³ per cell

***

No. 2
Below is a relaxed structure of SrCa3Pd, with properties calculated at the PBE level.

Cell: 6.8206 7.8649 8.1273 Å, 62.74 80.63 73.99°
Fractional coordinates of all 10 atoms:
1 Sr 0.0000 0.0000 0.0000
2 Sr 0.4658 0.9816 0.2898
3 Ca 0.0150 0.5120 0.9956
4 Ca 0.0219 0.6910 0.5118
5 Ca 0.4646 0.5061 0.2170
6 Ca 0.5515 0.4811 0.7137
7 Ca 0.5538 0.9547 0.7738
8 Ca 0.9834 0.2148 0.4853
9 Pd 0.2294 0.8150 0.7189
10 Pd 0.7891 0.6359 0.2778

Computed properties:
ΔE to the lowest computed polymorph   0.103 eV per formula unit
Size of the total moment   0.00 μB per cell
Space group   P1, No. 1
Volume   372.2 Å³ per cell

***

No. 3
Below is a relaxed structure of SrCa3Pd, with properties calculated at the PBE level.

Cell: 9.9878 9.9878 7.8104 Å, 101.82 101.82 77.79°
Fractional coordinates of all 20 atoms:
1 Sr 0.1437 0.8563 0.7500
2 Sr 0.2516 0.7484 0.2500
3 Sr 0.7484 0.2516 0.7500
4 Sr 0.8563 0.1437 0.2500
5 Ca 0.0627 0.3546 0.6235
6 Ca 0.0971 0.3601 0.1003
7 Ca 0.3469 0.4703 0.5501
8 Ca 0.3546 0.0627 0.1235
9 Ca 0.3601 0.0971 0.6003
10 Ca 0.4703 0.3469 0.0501
11 Ca 0.5297 0.6531 0.9499
12 Ca 0.6399 0.9029 0.3997
13 Ca 0.6454 0.9373 0.8765
14 Ca 0.6531 0.5297 0.4499
15 Ca 0.9029 0.6399 0.8997
16 Ca 0.9373 0.6454 0.3765
17 Pd 0.2159 0.5423 0.8888
18 Pd 0.4577 0.7841 0.6112
19 Pd 0.5423 0.2159 0.3888
20 Pd 0.7841 0.4577 0.1112

Computed properties:
ΔE to the lowest computed polymorph   0.444 eV per formula unit
Size of the total moment   0.00 μB per cell
Space group   C2/c, No. 15
Volume   734.7 Å³ per cell

***

No. 4
Below is a relaxed structure of SrCa3Pd, with properties calculated at the PBE level.

Cell: 11.5385 11.5385 7.4878 Å, 107.45 107.45 22.84°
Fractional coordinates of all 10 atoms:
1 Sr 0.0945 0.0945 0.4312
2 Sr 0.9055 0.9055 0.5688
3 Ca 0.1861 0.1861 0.9566
4 Ca 0.2821 0.2821 0.6696
5 Ca 0.4434 0.4434 0.1631
6 Ca 0.5566 0.5566 0.8369
7 Ca 0.7179 0.7179 0.3304
8 Ca 0.8139 0.8139 0.0434
9 Pd 0.3097 0.3097 0.2956
10 Pd 0.6903 0.6903 0.7044

Computed properties:
ΔE to the lowest computed polymorph   0.198 eV per formula unit
Size of the total moment   0.00 μB per cell
Space group   C2/m, No. 12
Volume   368.4 Å³ per cell

***

No. 5
Below is a relaxed structure of Sr3CaPd, with properties calculated at the PBE level.

Cell: 7.2223 11.0257 10.7889 Å, 90.00 90.00 90.00°
Fractional coordinates of all 20 atoms:
1 Sr 0.0264 0.0886 0.1642
2 Sr 0.0264 0.4114 0.1642
3 Sr 0.2186 0.2500 0.8261
4 Sr 0.2814 0.7500 0.3261
5 Sr 0.4736 0.5886 0.6642
6 Sr 0.4736 0.9114 0.6642
7 Sr 0.5264 0.0886 0.3358
8 Sr 0.5264 0.4114 0.3358
9 Sr 0.7186 0.2500 0.6739
10 Sr 0.7814 0.7500 0.1739
11 Sr 0.9736 0.5886 0.8358
12 Sr 0.9736 0.9114 0.8358
13 Ca 0.0000 0.0000 0.5000
14 Ca 0.0000 0.5000 0.5000
15 Ca 0.5000 0.0000 0.0000
16 Ca 0.5000 0.5000 0.0000
17 Pd 0.1298 0.7500 0.5992
18 Pd 0.3702 0.2500 0.0992
19 Pd 0.6298 0.7500 0.9008
20 Pd 0.8702 0.2500 0.4008

Computed properties:
ΔE to the lowest computed polymorph   0.638 eV per formula unit
Size of the total moment   0.00 μB per cell
Space group   Pnma, No. 62
Volume   859.1 Å³ per cell

***

No. 6
Below is a relaxed structure of Sr3CaPd, with properties calculated at the PBE level.

Cell: 7.3302 7.4041 8.4589 Å, 89.59 72.91 80.25°
Fractional coordinates of all 10 atoms:
1 Sr 0.2458 0.3780 0.0593
2 Sr 0.2513 0.3765 0.5613
3 Sr 0.2521 0.8825 0.3147
4 Sr 0.7479 0.1175 0.6853
5 Sr 0.7487 0.6235 0.4387
6 Sr 0.7542 0.6220 0.9407
7 Ca 0.2353 0.8795 0.8223
8 Ca 0.7647 0.1205 0.1777
9 Pd 0.0008 0.7605 0.1310
10 Pd 0.9992 0.2395 0.8690

Computed properties:
ΔE to the lowest computed polymorph   0.052 eV per formula unit
Size of the total moment   0.00 μB per cell
Space group   P-1, No. 2
Volume   432.0 Å³ per cell

***

No. 7
Below is a relaxed structure of Sr2CaPd, with properties calculated at the PBE level.

Cell: 8.1947 8.1947 8.1947 Å, 90.00 90.00 90.00°
Fractional coordinates of all 16 atoms:
1 Sr 0.2500 0.2500 0.2500
2 Sr 0.2500 0.2500 0.7500
3 Sr 0.2500 0.7500 0.2500
4 Sr 0.2500 0.7500 0.7500
5 Sr 0.7500 0.2500 0.2500
6 Sr 0.7500 0.2500 0.7500
7 Sr 0.7500 0.7500 0.2500
8 Sr 0.7500 0.7500 0.7500
9 Ca 0.0000 0.0000 0.0000
10 Ca 0.0000 0.5000 0.5000
11 Ca 0.5000 0.0000 0.5000
12 Ca 0.5000 0.5000 0.0000
13 Pd 0.0000 0.0000 0.5000
14 Pd 0.0000 0.5000 0.0000
15 Pd 0.5000 0.0000 0.0000
16 Pd 0.5000 0.5000 0.5000

Computed properties:
ΔE to the lowest computed polymorph   1.481 eV per formula unit
Size of the total moment   0.00 μB per cell
Space group   Fm-3m, No. 225
Volume   550.3 Å³ per cell

***

No. 8
Below is a relaxed structure of Sr2CaPd, with properties calculated at the PBE level.

Cell: 3.8491 3.8491 9.9125 Å, 90.00 90.00 90.00°
Fractional coordinates of all 4 atoms:
1 Sr 0.0000 0.0000 0.1801
2 Sr 0.0000 0.0000 0.8199
3 Ca 0.5000 0.5000 0.5000
4 Pd 0.5000 0.5000 0.0000

Computed properties:
ΔE to the lowest computed polymorph   0.395 eV per formula unit
Size of the total moment   0.00 μB per cell
Space group   P4/mmm, No. 123
Volume   146.9 Å³ per cell

***

No. 9
Below is a relaxed structure of SrCa3Pd, with properties calculated at the PBE level.

Cell: 7.7057 7.7057 6.8114 Å, 90.00 90.00 108.28°
Fractional coordinates of all 10 atoms:
1 Sr 0.0742 0.9258 0.7500
2 Sr 0.9258 0.0742 0.2500
3 Ca 0.0243 0.5944 0.2500
4 Ca 0.4056 0.9757 0.2500
5 Ca 0.5000 0.5000 0.0000
6 Ca 0.5000 0.5000 0.5000
7 Ca 0.5944 0.0243 0.7500
8 Ca 0.9757 0.4056 0.7500
9 Pd 0.3078 0.6922 0.7500
10 Pd 0.6922 0.3078 0.2500

Computed properties:
ΔE to the lowest computed polymorph   0.715 eV per formula unit
Size of the total moment   0.00 μB per cell
Space group   Cmcm, No. 63
Volume   384.0 Å³ per cell

***

No. 10
Below is a relaxed structure of SrCa2Pd2, with properties calculated at the PBE level.

Cell: 5.2527 5.2527 11.0139 Å, 90.00 90.00 90.00°
Fractional coordinates of all 10 atoms:
1 Sr 0.0000 0.0000 0.0000
2 Sr 0.5000 0.5000 0.5000
3 Ca 0.0000 0.0000 0.3397
4 Ca 0.0000 0.0000 0.6603
5 Ca 0.5000 0.5000 0.1603
6 Ca 0.5000 0.5000 0.8397
7 Pd 0.0000 0.5000 0.2500
8 Pd 0.0000 0.5000 0.7500
9 Pd 0.5000 0.0000 0.2500
10 Pd 0.5000 0.0000 0.7500

Computed properties:
ΔE to the lowest computed polymorph   0.927 eV per formula unit
Size of the total moment   0.00 μB per cell
Space group   I4/mmm, No. 139
Volume   303.9 Å³ per cell

***

No. 11
Below is a relaxed structure of Sr2CaPd2, with properties calculated at the PBE level.

Cell: 5.4545 5.4545 11.1757 Å, 90.00 90.00 90.00°
Fractional coordinates of all 10 atoms:
1 Sr 0.0000 0.0000 0.1592
2 Sr 0.0000 0.0000 0.8408
3 Sr 0.5000 0.5000 0.3408
4 Sr 0.5000 0.5000 0.6592
5 Ca 0.0000 0.0000 0.5000
6 Ca 0.5000 0.5000 0.0000
7 Pd 0.0000 0.5000 0.2500
8 Pd 0.0000 0.5000 0.7500
9 Pd 0.5000 0.0000 0.2500
10 Pd 0.5000 0.0000 0.7500

Computed properties:
ΔE to the lowest computed polymorph   1.838 eV per formula unit
Size of the total moment   0.00 μB per cell
Space group   I4/mmm, No. 139
Volume   332.5 Å³ per cell

***

No. 12
Below is a relaxed structure of Sr3CaPd, with properties calculated at the PBE level.

Cell: 8.8056 8.8056 6.8895 Å, 90.00 90.00 130.82°
Fractional coordinates of all 10 atoms:
1 Sr 0.0000 0.0000 0.0000
2 Sr 0.0000 0.0000 0.5000
3 Sr 0.0614 0.4420 0.7500
4 Sr 0.4420 0.0614 0.2500
5 Sr 0.5580 0.9386 0.7500
6 Sr 0.9386 0.5580 0.2500
7 Ca 0.4280 0.5720 0.2500
8 Ca 0.5720 0.4280 0.7500
9 Pd 0.1590 0.8410 0.7500
10 Pd 0.8410 0.1590 0.2500

Computed properties:
ΔE to the lowest computed polymorph   0.949 eV per formula unit
Size of the total moment   0.00 μB per cell
Space group   Cmcm, No. 63
Volume   404.3 Å³ per cell

***

No. 13
Below is a relaxed structure of SrCa3Pd, with properties calculated at the PBE level.

Cell: 3.7305 11.2926 8.7013 Å, 90.00 90.92 90.00°
Fractional coordinates of all 10 atoms:
1 Sr 0.1833 0.2500 0.0226
2 Sr 0.8167 0.7500 0.9774
3 Ca 0.1827 0.2500 0.4645
4 Ca 0.3070 0.0214 0.7312
5 Ca 0.3070 0.4786 0.7312
6 Ca 0.6930 0.5214 0.2688
7 Ca 0.6930 0.9786 0.2688
8 Ca 0.8173 0.7500 0.5355
9 Pd 0.2811 0.7500 0.2698
10 Pd 0.7189 0.2500 0.7302

Computed properties:
ΔE to the lowest computed polymorph   0.386 eV per formula unit
Size of the total moment   0.00 μB per cell
Space group   P2_1/m, No. 11
Volume   366.5 Å³ per cell

***

No. 14
Below is a relaxed structure of Sr2CaTl6Pd, with properties calculated at the PBE level.

Cell: 7.9505 7.9505 7.9505 Å, 60.00 60.00 60.00°
Fractional coordinates of all 10 atoms:
1 Sr 0.2500 0.2500 0.2500
2 Sr 0.7500 0.7500 0.7500
3 Ca 0.0000 0.0000 0.0000
4 Tl 0.2614 0.2614 0.7386
5 Tl 0.2614 0.7386 0.2614
6 Tl 0.2614 0.7386 0.7386
7 Tl 0.7386 0.2614 0.2614
8 Tl 0.7386 0.2614 0.7386
9 Tl 0.7386 0.7386 0.2614
10 Pd 0.5000 0.5000 0.5000

Computed properties:
Final energy   -25.87 eV/cell
Size of the total moment   0.00 μB per cell
Space group   Fm-3m, No. 225
Volume   355.4 Å³ per cell

***

No. 15
Below is a relaxed structure of Sr2CaTlPd, with properties calculated at the PBE level.

Cell: 5.8792 5.8792 5.5769 Å, 90.00 90.00 90.00°
Fractional coordinates of all 5 atoms:
1 Sr 0.0000 0.5000 0.0000
2 Sr 0.5000 0.0000 0.0000
3 Ca 0.0000 0.0000 0.5000
4 Tl 0.5000 0.5000 0.5000
5 Pd 0.0000 0.0000 0.0000

Computed properties:
Final energy   -14.56 eV/cell
Size of the total moment   0.00 μB per cell
Space group   P4/mmm, No. 123
Volume   192.8 Å³ per cell

***

No. 16
Below is a relaxed structure of SrCaTlPd, with properties calculated at the PBE level.

Cell: 7.6434 7.6434 7.6434 Å, 90.00 90.00 90.00°
Fractional coordinates of all 16 atoms:
1 Sr 0.0000 0.0000 0.0000
2 Sr 0.0000 0.5000 0.5000
3 Sr 0.5000 0.0000 0.5000
4 Sr 0.5000 0.5000 0.0000
5 Ca 0.0000 0.0000 0.5000
6 Ca 0.0000 0.5000 0.0000
7 Ca 0.5000 0.0000 0.0000
8 Ca 0.5000 0.5000 0.5000
9 Tl 0.2500 0.2500 0.2500
10 Tl 0.2500 0.7500 0.7500
11 Tl 0.7500 0.2500 0.7500
12 Tl 0.7500 0.7500 0.2500
13 Pd 0.2500 0.2500 0.7500
14 Pd 0.2500 0.7500 0.2500
15 Pd 0.7500 0.2500 0.2500
16 Pd 0.7500 0.7500 0.7500

Computed properties:
Final energy   -51.58 eV/cell
Size of the total moment   0.00 μB per cell
Space group   F-43m, No. 216
Volume   446.5 Å³ per cell

***

No. 17
Below is a relaxed structure of SrCaTlPd2, with properties calculated at the PBE level.

Cell: 5.2976 5.2976 5.4628 Å, 90.00 90.00 90.00°
Fractional coordinates of all 5 atoms:
1 Sr 0.0000 0.0000 0.0000
2 Ca 0.5000 0.5000 0.0000
3 Tl 0.5000 0.5000 0.5000
4 Pd 0.0000 0.5000 0.5000
5 Pd 0.5000 0.0000 0.5000

Computed properties:
Final energy   -15.96 eV/cell
Size of the total moment   0.00 μB per cell
Space group   P4/mmm, No. 123
Volume   153.3 Å³ per cell

***

No. 18
Below is a relaxed structure of SrCa2YPd, with properties calculated at the PBE level.

Cell: 5.6422 5.6422 5.8552 Å, 90.00 90.00 90.00°
Fractional coordinates of all 5 atoms:
1 Sr 0.0000 0.0000 0.0000
2 Ca 0.0000 0.5000 0.5000
3 Ca 0.5000 0.0000 0.5000
4 Y 0.5000 0.5000 0.0000
5 Pd 0.0000 0.0000 0.5000

Computed properties:
ΔE to the lowest computed polymorph   0.960 eV per formula unit
Size of the total moment   0.00 μB per cell
Space group   P4/mmm, No. 123
Volume   186.4 Å³ per cell

***

No. 19
Below is a relaxed structure of Sr2CaYPd, with properties calculated at the PBE level.

Cell: 6.0076 6.0076 5.5621 Å, 90.00 90.00 90.00°
Fractional coordinates of all 5 atoms:
1 Sr 0.0000 0.5000 0.0000
2 Sr 0.5000 0.0000 0.0000
3 Ca 0.0000 0.0000 0.5000
4 Y 0.5000 0.5000 0.5000
5 Pd 0.5000 0.5000 0.0000

Computed properties:
Final energy   -18.04 eV/cell
Size of the total moment   0.00 μB per cell
Space group   P4/mmm, No. 123
Volume   200.7 Å³ per cell

***

No. 20
Below is a relaxed structure of SrCa2YPd, with properties calculated at the PBE level.

Cell: 5.7600 5.7600 5.5386 Å, 90.00 90.00 90.00°
Fractional coordinates of all 5 atoms:
1 Sr 0.0000 0.0000 0.0000
2 Ca 0.0000 0.5000 0.5000
3 Ca 0.5000 0.0000 0.5000
4 Y 0.5000 0.5000 0.0000
5 Pd 0.5000 0.5000 0.5000

Computed properties:
ΔE to the lowest computed polymorph   0.000 eV per formula unit
Size of the total moment   0.00 μB per cell
Space group   P4/mmm, No. 123
Volume   183.8 Å³ per cell